This record from the Alexandria database describes a geometry-optimized HfPa2In structure. The functional is GGA-PBE.

```
HfPa2In
1.0
1.578 0.911 11.312
-1.578 0.911 11.312
0.000 -1.823 11.312
Hf Pa In
1 2 1
Direct
0.000 0.000 0.000
0.251 0.251 0.251
0.749 0.749 0.749
0.500 0.500 0.500
```

## Properties
**Space-group type**: R-3m (166)
**DOS at the Fermi energy**: 8.1 states/eV/f.u.
**Volume**: 97.6 Å³ per cell
**Polymorph energy (0 for the lowest one)**: 78.9 meV/atom